1.
A plane-wave DFT calculation with GGA-PBE was carried out for a relaxed Cd2HgOs crystal.

a b c (Å): 4.7511 4.7511 4.7511
angles (deg): 60.00 60.00 60.00
Closest atoms and distances in Å follow each position.
Element x y z (fractional)
1 Os 0.2500 0.2500 0.2500  4 Hg 2.91, 4 Cd 2.91
2 Cd 0.0000 0.0000 0.0000  4 Cd 2.91, 4 Os 2.91
3 Cd 0.7500 0.7500 0.7500  4 Hg 2.91, 4 Cd 2.91
4 Hg 0.5000 0.5000 0.5000  4 Cd 2.91, 4 Os 2.91

Output
The energy of formation is 0.662 eV per atom. The theoretical density comes out at 13.5 g/cm³. Its space group is No. 216. For the density of states at the Fermi level, the calculation gives 2.30 states/eV/f.u.

---

2.
A plane-wave DFT calculation with GGA-PBE was carried out for a relaxed Co4AgCl crystal.

a b c (Å): 4.9320 4.9320 4.9320
angles (deg): 60.00 60.00 60.00
Closest atoms and distances in Å follow each position.
Element x y z (fractional)
1 Cl 0.0000 0.0000 0.0000  12 Co 2.89, 4 Ag 3.02
2 Co 0.6252 0.6252 0.6252  6 Co 2.46-2.47
3 Co 0.6252 0.6252 0.1244  6 Co 2.46-2.47
4 Co 0.1244 0.6252 0.6252  6 Co 2.46-2.47
5 Co 0.6252 0.1244 0.6252  6 Co 2.46-2.47
6 Ag 0.2500 0.2500 0.2500  12 Co 2.89, 4 Cl 3.02

Output
The calculation puts the total energy at -29.3 eV for the cell shown. The theoretical density comes out at 7.4 g/cm³. Its space group is No. 216. For the density of states at the Fermi level, the calculation gives 7.57 states/eV/f.u.

---

3.
A plane-wave DFT calculation with GGA-PBE was carried out for a relaxed PaTaN3 crystal.

a b c (Å): 3.7612 5.4273 7.8447
angles (deg): 112.25 90.00 90.00
Closest atoms and distances in Å follow each position.
Element x y z (fractional)
1 N 0.7500 0.0677 0.6664  1 Ta 1.96
2 N 0.2500 0.4651 0.3824  1 Ta 2.07, 3 Pa 2.20-2.31
3 N 0.2500 0.7671 0.8939  3 Ta 2.09-2.19
4 N 0.2500 0.9323 0.3336  1 Ta 1.96
5 N 0.7500 0.5349 0.6176  1 Ta 2.07, 3 Pa 2.20-2.31
6 N 0.7500 0.2329 0.1061  3 Ta 2.09-2.19
7 Ta 0.7500 0.8910 0.8433  5 N 1.96-2.19
8 Ta 0.2500 0.1090 0.1567  5 N 1.96-2.19
9 Pa 0.7500 0.6684 0.3702  5 N 2.20-2.45
10 Pa 0.2500 0.3316 0.6298  5 N 2.20-2.45

Output
The calculation puts the total energy at -106.7 eV for the cell shown. The theoretical density comes out at 10.2 g/cm³. Its space group is No. 11. For the density of states at the Fermi level, the calculation gives 1.35 states/eV/f.u.